An optimized crystal structure of Sn3N4. Source: the Alexandria database, functional PBE-GGA.

Cell and atoms, written as POSCAR:
```
Sn3N4
1.0
-4.2674 4.7000 1.2152
-3.7533 -0.3214 5.2524
0.9843 4.0636 4.9291
Sn N
6 8
direct
0.1250 0.1250 0.1250
0.6250 0.1250 0.1250
0.1250 0.1250 0.6250
0.1250 0.6250 0.1250
0.7500 0.7500 0.7500
0.5000 0.5000 0.5000
0.8841 0.3478 0.8841
0.3659 0.3659 0.9022
0.3659 0.3659 0.3659
0.9022 0.3659 0.3659
0.8841 0.8841 0.8841
0.3478 0.8841 0.8841
0.3659 0.9022 0.3659
0.8841 0.8841 0.3478
```

Output
Uncorrected formation energy ... 0.213 eV per atom
ρ ... 7.17 g cm⁻³

***

An optimized crystal structure of Ho2CdI. Source: the Alexandria database, functional PBE-GGA.

Cell and atoms, written as POSCAR:
```
Ho2CdI
1.0
-1.7118 -1.3216 -2.8906
1.4111 -2.7811 -1.8184
-5.7593 -8.5890 5.0833
I Ho Cd
1 2 1
direct
0.5000 0.5000 0.5000
0.0931 0.0931 0.7207
0.9069 0.9069 0.2793
0.0000 0.0000 0.0000
```

Output
Uncorrected formation energy ... -0.053 eV per atom
ρ ... 7.39 g cm⁻³

***

Question: Which formula does entry 1 have?
Answer: Sn3N4

***

Question: Which formula does entry 2 have?
Answer: Ho2CdI

***

Please write out number 1 again, unchanged.
An optimized crystal structure of Sn3N4. Source: the Alexandria database, functional PBE-GGA.

Cell and atoms, written as POSCAR:
```
Sn3N4
1.0
-4.2674 4.7000 1.2152
-3.7533 -0.3214 5.2524
0.9843 4.0636 4.9291
Sn N
6 8
direct
0.1250 0.1250 0.1250
0.6250 0.1250 0.1250
0.1250 0.1250 0.6250
0.1250 0.6250 0.1250
0.7500 0.7500 0.7500
0.5000 0.5000 0.5000
0.8841 0.3478 0.8841
0.3659 0.3659 0.9022
0.3659 0.3659 0.3659
0.9022 0.3659 0.3659
0.8841 0.8841 0.8841
0.3478 0.8841 0.8841
0.3659 0.9022 0.3659
0.8841 0.8841 0.3478
```

Output
Uncorrected formation energy ... 0.213 eV per atom
ρ ... 7.17 g cm⁻³

***

What did the second record say?
An optimized crystal structure of Ho2CdI. Source: the Alexandria database, functional PBE-GGA.

Cell and atoms, written as POSCAR:
```
Ho2CdI
1.0
-1.7118 -1.3216 -2.8906
1.4111 -2.7811 -1.8184
-5.7593 -8.5890 5.0833
I Ho Cd
1 2 1
direct
0.5000 0.5000 0.5000
0.0931 0.0931 0.7207
0.9069 0.9069 0.2793
0.0000 0.0000 0.0000
```

Output
Uncorrected formation energy ... -0.053 eV per atom
ρ ... 7.39 g cm⁻³